CeGdGe2: relaxed, GGA-PBE.

Lattice parameters (Å, degrees): 5.123 5.123 5.123 60.00 60.00 60.00
Fractional coordinates of all 4 atoms:
Ce1 0.000 0.000 0.000
Gd1 0.500 0.500 0.500
Ge1 0.250 0.250 0.250
Ge2 0.750 0.750 0.750

- SG = Fm-3m (225)
- spin magnetization (μB/f.u.) = 8.2
- energy of formation (eV per atom) = -0.60